## La2TlPd9 (PBE)

Data for La2TlPd9 after structural relaxation.

a = 4.2124 Å, b = 4.2124 Å, c = 12.4000 Å
α = 90.00°, β = 90.00°, γ = 90.00°
Last column: nearest neighbours and their distance in Å.
Element x y z (fractional)
La  0.0000  0.0000  0.3272  12 Pd 2.96-3.00
La  0.0000  0.0000  0.6728  12 Pd 2.96-3.00
Tl  0.0000  0.0000  0.0000  12 Pd 2.89-2.98
Pd  0.5000  0.5000  0.0000  8 Pd 2.89, 4 Tl 2.98
Pd  0.5000  0.5000  0.3300  4 La 2.98, 8 Pd 2.98-2.99
Pd  0.5000  0.5000  0.6700  4 La 2.98, 8 Pd 2.98-2.99
Pd  0.5000  0.0000  0.1591  2 Tl 2.89, 8 Pd 2.89-2.99, 2 La 2.96
Pd  0.5000  0.0000  0.5000  8 Pd 2.98, 4 La 3.00
Pd  0.5000  0.0000  0.8409  2 Tl 2.89, 8 Pd 2.89-2.99, 2 La 2.96
Pd  0.0000  0.5000  0.1591  2 Tl 2.89, 8 Pd 2.89-2.99, 2 La 2.96
Pd  0.0000  0.5000  0.5000  8 Pd 2.98, 4 La 3.00
Pd  0.0000  0.5000  0.8409  2 Tl 2.89, 8 Pd 2.89-2.99, 2 La 2.96

Summary:
Total magnetic moment = 0.000 μB/atom
Density of states at the Fermi level = 4.52 states/eV/cell
Polymorph energy (0 for the lowest one) = 0.0 meV per atom
Uncorrected energy = -66.2 eV/f.u.

## LaDy2Zn (PBE)

Data for LaDy2Zn after structural relaxation.

a = 3.6036 Å, b = 3.6036 Å, c = 8.7961 Å
α = 90.00°, β = 90.00°, γ = 90.00°
Last column: nearest neighbours and their distance in Å.
Element x y z (fractional)
Zn  0.5000  0.5000  0.0000  8 Dy 3.09
La  0.5000  0.5000  0.5000  4 La 3.60, 8 Dy 3.68
Dy  0.0000  0.0000  0.8012  4 Zn 3.09
Dy  0.0000  0.0000  0.1988  4 Zn 3.09

Summary:
Total magnetic moment = 0.000 μB/atom
Density of states at the Fermi level = 5.68 states/eV/cell
Polymorph energy (0 for the lowest one) = 0.0 meV per atom
Uncorrected energy = -16.0 eV/f.u.

## LaY2BiO (PBE)

Data for LaY2BiO after structural relaxation.

a = 4.7874 Å, b = 5.2969 Å, c = 4.7874 Å
α = 90.00°, β = 90.00°, γ = 90.00°
Last column: nearest neighbours and their distance in Å.
Element x y z (fractional)
Y  0.0000  0.0000  0.5000  2 O 2.39
Y  0.5000  0.0000  0.0000  2 O 2.39
Bi  0.5000  0.5000  0.5000  4 La 3.39, 8 Y 3.57
O  0.0000  0.0000  0.0000  4 Y 2.39, 2 La 2.65
La  0.0000  0.5000  0.0000  2 O 2.65

Summary:
Total magnetic moment = 0.000 μB/atom
Density of states at the Fermi level = 5.31 states/eV/cell
Formation energy from raw total energies = -1403 meV/atom
Uncorrected energy = -33.7 eV/f.u.

uncorrected energy of number 3 (LaY2BiO)? -33.7 eV/f.u.

The highest density of states at the Fermi level belongs to which entry? LaDy2Zn

Which formula does entry 3 have? LaY2BiO